Compound: UTaZnO6
Source: Alexandria
Functional: GGA-PBE
Structure: relaxed

Values from the calculation:
- total moment (μB per atom) = 0.111
- E_form (uncorrected) (eV per atom) = -2.586
- total DFT energy (no corrections) (eV for the cell shown) = -154.87

a = 5.288 Å, b = 5.288 Å, c = 9.249 Å
α = 90.00°, β = 90.00°, γ = 120.00°
Sites, in units of the cell vectors:
1 U 0.333 0.667 0.250
2 U 0.667 0.333 0.750
3 Ta 0.000 0.000 0.000
4 Ta 0.000 0.000 0.500
5 Zn 0.333 0.667 0.750
6 Zn 0.667 0.333 0.250
7 O 0.002 0.315 0.624
8 O 0.002 0.687 0.876
9 O 0.313 0.315 0.876
10 O 0.313 0.998 0.624
11 O 0.315 0.002 0.124
12 O 0.315 0.313 0.376
13 O 0.685 0.687 0.624
14 O 0.685 0.998 0.876
15 O 0.687 0.002 0.376
16 O 0.687 0.685 0.124
17 O 0.998 0.313 0.124
18 O 0.998 0.685 0.376